1.
Entry from Alexandria via LeMat-Bulk: an optimized crystal structure of Tm2MnBiO6 (GGA+U).

```
Tm2MnBiO6
1.0
-5.7366 0.0150 -0.5999
-3.1572 -4.3594 1.7306
-3.2328 0.6616 4.9280
Tm O Mn Bi
2 6 1 1
Direct
0.5174 0.5241 0.4492
0.0255 0.0329 0.9190
0.6480 0.1903 0.2717
0.7303 0.0845 0.7378
0.4163 0.7187 0.7478
0.0918 0.4459 0.7362
0.2212 0.8975 0.2352
0.8903 0.6409 0.2799
0.8199 0.8217 0.5451
0.3009 0.3051 0.0932
```

---

2.
Entry from Alexandria via LeMat-Bulk: an optimized crystal structure of TmMn2BiO6 (GGA+U).

```
TmMn2BiO6
1.0
5.5305 0.0001 0.0002
2.7653 4.7895 -0.0001
2.7652 1.5967 4.6904
O Tm Bi Mn
6 1 1 2
Direct
0.7271 0.1596 0.7291
0.8357 0.6777 0.2413
0.6777 0.2453 0.2413
0.1596 0.3842 0.7291
0.3842 0.7271 0.7291
0.2453 0.8357 0.2413
0.8019 0.8020 0.5941
0.2958 0.2958 0.1127
0.0198 0.0198 0.9406
0.5145 0.5145 0.4565
```

---

3.
Entry from Alexandria via LeMat-Bulk: an optimized crystal structure of Mn2VBiO8 (GGA+U).

```
Mn2VBiO8
1.0
-0.6421 -0.5785 4.5355
2.0964 -4.1079 -0.1988
5.5932 2.7988 1.1490
O Mn Bi V
8 2 1 1
Direct
0.7984 0.2018 0.2281
0.2994 0.2992 0.0000
0.2016 0.7982 0.2281
0.7984 0.2018 0.7719
0.6752 0.6754 0.5000
0.7006 0.7008 0.0000
0.3248 0.3246 0.5000
0.2016 0.7982 0.7719
0.5000 0.5000 0.7635
0.5000 0.5000 0.2365
0.0000 0.0000 0.5000
0.0000 0.0000 0.0000
```

---

4.
Entry from Alexandria via LeMat-Bulk: an optimized crystal structure of Mn2VBiO6 (GGA+U).

```
Mn2VBiO6
1.0
5.3505 -0.0027 0.0544
2.6732 4.5602 0.0255
2.7279 1.5162 4.9498
O V Mn Bi
6 1 2 1
Direct
0.6027 0.2371 0.2176
0.7258 0.1539 0.7713
0.3510 0.7164 0.7736
0.2393 0.9534 0.2129
0.9422 0.6136 0.2299
0.1435 0.3535 0.7715
0.3318 0.3084 0.0384
0.0013 0.0084 0.9803
0.5290 0.5270 0.4143
0.7950 0.7900 0.6053
```

---

5.
Entry from Alexandria via LeMat-Bulk: an optimized crystal structure of MnV2BiO8 (GGA+U).

```
MnV2BiO8
1.0
5.6789 0.0000 0.0000
-2.8394 4.9181 0.0000
0.0000 0.0000 6.3510
O V Mn Bi
8 2 1 1
Direct
0.6840 0.8413 0.7078
0.3333 0.6667 0.0394
0.6667 0.3333 0.9606
0.3160 0.1587 0.2922
0.1587 0.8428 0.7078
0.1572 0.3160 0.7078
0.8413 0.1572 0.2922
0.8428 0.6840 0.2922
0.6667 0.3333 0.2209
0.3333 0.6667 0.7791
0.0000 0.0000 0.5000
0.0000 0.0000 0.0000
```

---

6.
Entry from Alexandria via LeMat-Bulk: an optimized crystal structure of MnV2BiO6 (GGA+U).

```
MnV2BiO6
1.0
5.2066 0.4844 0.5027
2.2743 7.1895 0.9373
2.2743 0.6702 7.2193
O V Mn Bi
12 4 2 2
Direct
0.7531 0.3764 0.8915
0.2967 0.2058 0.0796
0.8926 0.6613 0.5919
0.7469 0.1085 0.6236
0.3926 0.5919 0.6613
0.2469 0.6236 0.1085
0.1074 0.3387 0.4081
0.7033 0.7942 0.9204
0.2033 0.9204 0.7942
0.2531 0.8915 0.3764
0.6074 0.4081 0.3387
0.7967 0.0796 0.2058
0.0565 0.8351 0.6419
0.4435 0.3581 0.1649
0.5565 0.6419 0.8351
0.9435 0.1649 0.3581
0.2500 0.9217 0.0783
0.7500 0.0783 0.9217
0.7500 0.6535 0.3465
0.2500 0.3465 0.6535
```

---

7.
Entry from Alexandria via LeMat-Bulk: an optimized crystal structure of Mn2BiWO8 (GGA+U).

```
Mn2BiWO8
1.0
4.8777 -0.1968 -0.0029
-0.1583 4.8797 -0.0052
0.0040 0.0069 6.3644
O Mn Bi W
8 2 1 1
Direct
0.6743 0.6740 0.5000
0.8118 0.1880 0.2200
0.1882 0.8120 0.7800
0.8119 0.1880 0.7800
0.3257 0.3260 0.5000
0.6988 0.6986 0.0000
0.3012 0.3014 0.0000
0.1881 0.8120 0.2200
0.4999 0.5000 0.7567
0.5001 0.5000 0.2433
0.0000 0.0000 0.5000
0.0000 0.0000 0.0000
```

---

8.
Entry from Alexandria via LeMat-Bulk: an optimized crystal structure of Y2MnBiO6 (GGA+U).

```
Y2MnBiO6
1.0
5.4634 0.0000 0.0000
0.0000 5.2955 0.0000
0.0000 0.0000 5.2955
O Y Bi Mn
6 2 1 1
Direct
0.1201 0.5000 0.5000
0.7454 0.2409 0.2409
0.7454 0.7591 0.7591
0.7454 0.7591 0.2409
0.7454 0.2409 0.7591
0.2239 0.0000 0.0000
0.9842 0.0000 0.5000
0.9842 0.5000 0.0000
0.5383 0.5000 0.5000
0.6144 0.0000 0.0000
```

---

Calculated final energy (eV per atom), listed in the same order as above: -7.452; -7.283; -6.868; -7.088; -7.088; -7.270; -6.994; -7.548